No. 1
# HfAuN | Alexandria | PBE | relaxed
# **Volume**: 16.63 Å³ per atom
# **Polymorph energy (0 for the lowest one)**: 0.05 eV/f.u.
# **Size of the total moment**: 0.0 μB per cell
# **E_form (uncorrected)**: -1.105 eV per atom
# **DOS at the Fermi energy**: 0.14 states/eV/f.u.
data_HfAuN
_chemical_formula_sum 'Hf6 Au6 N6'
_symmetry_space_group_name_H-M 'R -3 m'
_symmetry_Int_Tables_number 166
_symmetry_space_group_name_Hall '-R 3 2"'
_cell_length_a 3.5560
_cell_length_b 3.5560
_cell_length_c 27.3360
_cell_angle_alpha 90.00
_cell_angle_beta 90.00
_cell_angle_gamma 120.00
loop_
_atom_site_label
_atom_site_type_symbol
_atom_site_fract_x
_atom_site_fract_y
_atom_site_fract_z
Hf1 Hf 0.0000 0.0000 0.2150
Au1 Au 0.0000 0.0000 0.3716
N1 N 0.0000 0.0000 0.1343

=====

No. 2
# Hf6Au2N | Alexandria | PBE | relaxed
# **Volume**: 19.34 Å³ per atom
# **Size of the total moment**: 0.0 μB per cell
# **E_form (uncorrected)**: -0.578 eV per atom
# **DOS at the Fermi energy**: 5.96 states/eV/f.u.
data_Hf6Au2N
_chemical_formula_sum 'Hf12 Au4 N2'
_symmetry_space_group_name_H-M 'P 1 21/c 1'
_symmetry_Int_Tables_number 14
_cell_length_a 5.817
_cell_length_b 6.310
_cell_length_c 10.858
_cell_angle_alpha 90.00
_cell_angle_beta 119.13
_cell_angle_gamma 90.00
loop_
_symmetry_equiv_pos_as_xyz
'x,y,z'
'-x,-y,-z'
'-x,y+1/2,-z+1/2'
'x,-y+1/2,z+1/2'
loop_
_atom_site_label
_atom_site_type_symbol
_atom_site_fract_x
_atom_site_fract_y
_atom_site_fract_z
Hf1 Hf 0.115 0.011 0.241
Hf2 Hf 0.198 0.689 0.034
Hf3 Hf 0.358 0.195 0.032
Au1 Au 0.352 0.099 0.756
N1 N 0.000 0.000 0.000

=====

No. 3
# HfAuN | Alexandria | PBE | relaxed
# **Volume**: 16.51 Å³ per atom
# **Polymorph energy (0 for the lowest one)**: 0.03 eV/f.u.
# **Size of the total moment**: 0.0 μB per cell
# **E_form (uncorrected)**: -1.110 eV per atom
# **DOS at the Fermi energy**: 0.58 states/eV/f.u.
data_HfAuN
_chemical_formula_sum 'Hf4 Au4 N4'
_symmetry_space_group_name_H-M 'I 4/m m m'
_symmetry_Int_Tables_number 139
_symmetry_space_group_name_Hall '-I 4 2'
_cell_length_a 3.894
_cell_length_b 3.894
_cell_length_c 13.062
_cell_angle_alpha 90.00
_cell_angle_beta 90.00
_cell_angle_gamma 90.00
loop_
_atom_site_label
_atom_site_type_symbol
_atom_site_fract_x
_atom_site_fract_y
_atom_site_fract_z
Hf1 Hf 0.000 0.000 0.184
Au1 Au 0.000 0.500 0.000
N1 N 0.000 0.500 0.250

=====

No. 4
# Hf7Au2N2 | Alexandria | PBE | relaxed
# **Volume**: 18.40 Å³ per atom
# **Size of the total moment**: 0.0 μB per cell
# **E_form (uncorrected)**: -0.596 eV per atom
# **DOS at the Fermi energy**: 8.08 states/eV/f.u.
data_Hf7Au2N2
_chemical_formula_sum 'Hf14 Au4 N4'
_symmetry_space_group_name_H-M 'C 1 2/m 1'
_symmetry_Int_Tables_number 12
_cell_length_a 10.144
_cell_length_b 6.883
_cell_length_c 5.840
_cell_angle_alpha 90.00
_cell_angle_beta 96.99
_cell_angle_gamma 90.00
loop_
_symmetry_equiv_pos_as_xyz
'x,y,z'
'-x,-y,-z'
'-x,y,-z'
'x,-y,z'
'x+1/2,y+1/2,z'
'-x+1/2,-y+1/2,-z'
'-x+1/2,y+1/2,-z'
'x+1/2,-y+1/2,z'
loop_
_atom_site_label
_atom_site_type_symbol
_atom_site_fract_x
_atom_site_fract_y
_atom_site_fract_z
Hf1 Hf 0.000 0.000 0.000
Hf2 Hf 0.063 0.500 0.794
Hf3 Hf 0.213 0.282 0.229
Au1 Au 0.000 0.191 0.500
N1 N 0.226 0.000 0.030

=====

No. 5
# HfAuN | Alexandria | PBE | relaxed
# **Volume**: 17.22 Å³ per atom
# **Polymorph energy (0 for the lowest one)**: 0.56 eV/f.u.
# **Size of the total moment**: 0.0 μB per cell
# **E_form (uncorrected)**: -0.936 eV per atom
data_HfAuN
_chemical_formula_sum 'Hf3 Au3 N3'
_symmetry_space_group_name_H-M 'R 3 m'
_symmetry_Int_Tables_number 160
_symmetry_space_group_name_Hall 'R 3 -2"'
_cell_length_a 3.3602
_cell_length_b 3.3602
_cell_length_c 15.8487
_cell_angle_alpha 90.00
_cell_angle_beta 90.00
_cell_angle_gamma 120.00
loop_
_atom_site_label
_atom_site_type_symbol
_atom_site_fract_x
_atom_site_fract_y
_atom_site_fract_z
Hf1 Hf 0.0000 0.0000 0.0000
Au1 Au 0.0000 0.0000 0.5279
N1 N 0.0000 0.0000 0.3794

=====

No. 6
# Hf2AuN | Alexandria | PBE | relaxed
# **Volume**: 18.06 Å³ per atom
# **Size of the total moment**: 0.0 μB per cell
# **E_form (uncorrected)**: -0.810 eV per atom
# **DOS at the Fermi energy**: 0.60 states/eV/f.u.
data_Hf2AuN
_chemical_formula_sum 'Hf8 Au4 N4'
_symmetry_space_group_name_H-M 'I -4 2 d'
_symmetry_Int_Tables_number 122
_symmetry_space_group_name_Hall 'I -4 2bw'
_cell_length_a 6.293
_cell_length_b 6.293
_cell_length_c 7.298
_cell_angle_alpha 90.00
_cell_angle_beta 90.00
_cell_angle_gamma 90.00
loop_
_atom_site_label
_atom_site_type_symbol
_atom_site_fract_x
_atom_site_fract_y
_atom_site_fract_z
Hf1 Hf 0.165 0.750 0.125
Au1 Au 0.000 0.000 0.500
N1 N 0.000 0.000 0.000

=====

No. 7
# Hf2AuN | Alexandria | PBE | relaxed
# **Volume**: 16.29 Å³ per atom
# **Size of the total moment**: 0.0 μB per cell
# **E_form (uncorrected)**: -1.022 eV per atom
# **DOS at the Fermi energy**: 2.31 states/eV/f.u.
data_Hf2AuN
_chemical_formula_sum 'Hf8 Au4 N4'
_symmetry_space_group_name_H-M 'P n m a'
_symmetry_Int_Tables_number 62
_cell_length_a 6.173
_cell_length_b 4.461
_cell_length_c 9.466
_cell_angle_alpha 90.00
_cell_angle_beta 90.00
_cell_angle_gamma 90.00
loop_
_symmetry_equiv_pos_as_xyz
'x,y,z'
'-x,-y,-z'
'-x+1/2,-y,z+1/2'
'x+1/2,y,-z+1/2'
'x+1/2,-y+1/2,-z+1/2'
'-x+1/2,y+1/2,z+1/2'
'-x,y+1/2,-z'
'x,-y+1/2,z'
loop_
_atom_site_label
_atom_site_type_symbol
_atom_site_fract_x
_atom_site_fract_y
_atom_site_fract_z
Hf1 Hf 0.076 0.250 0.209
Hf2 Hf 0.145 0.250 0.556
Au1 Au 0.161 0.250 0.866
N1 N 0.122 0.750 0.592

=====

No. 8
# HfAu2N | Alexandria | PBE | relaxed
# **Volume**: 17.95 Å³ per atom
# **Size of the total moment**: 0.0 μB per cell
# **E_form (uncorrected)**: 0.087 eV per atom
# **DOS at the Fermi energy**: 2.07 states/eV/f.u.
data_HfAu2N
_chemical_formula_sum 'Hf4 Au8 N4'
_symmetry_space_group_name_H-M 'I -4 2 d'
_symmetry_Int_Tables_number 122
_symmetry_space_group_name_Hall 'I -4 2bw'
_cell_length_a 8.240
_cell_length_b 8.240
_cell_length_c 4.230
_cell_angle_alpha 90.00
_cell_angle_beta 90.00
_cell_angle_gamma 90.00
loop_
_atom_site_label
_atom_site_type_symbol
_atom_site_fract_x
_atom_site_fract_y
_atom_site_fract_z
Hf1 Hf 0.000 0.000 0.000
Au1 Au 0.150 0.750 0.625
N1 N 0.000 0.000 0.500

=====

No. 9
# Hf5Au2N | Alexandria | PBE | relaxed
# **Volume**: 19.42 Å³ per atom
# **Size of the total moment**: 0.0 μB per cell
# **E_form (uncorrected)**: -0.378 eV per atom
# **DOS at the Fermi energy**: 8.31 states/eV/f.u.
data_Hf5Au2N
_chemical_formula_sum 'Hf10 Au4 N2'
_symmetry_space_group_name_H-M 'C 1 m 1'
_symmetry_Int_Tables_number 8
_cell_length_a 5.949
_cell_length_b 10.225
_cell_length_c 5.885
_cell_angle_alpha 90.00
_cell_angle_beta 119.75
_cell_angle_gamma 90.00
loop_
_symmetry_equiv_pos_as_xyz
'x,y,z'
'x,-y,z'
'x+1/2,y+1/2,z'
'x+1/2,-y+1/2,z'
loop_
_atom_site_label
_atom_site_type_symbol
_atom_site_fract_x
_atom_site_fract_y
_atom_site_fract_z
Hf1 Hf 0.000 0.000 0.000
Hf2 Hf 0.077 0.500 0.154
Hf3 Hf 0.187 0.000 0.577
Hf4 Hf 0.275 0.290 0.579
Au1 Au 0.286 0.246 0.080
N1 N 0.321 0.500 0.577

=====

No. 10
# Hf6AuN2 | Alexandria | PBE | relaxed
# **Volume**: 21.98 Å³ per atom
# **Size of the total moment**: 0.0 μB per cell
# **E_form (uncorrected)**: -0.318 eV per atom
# **DOS at the Fermi energy**: 7.32 states/eV/f.u.
data_Hf6AuN2
_chemical_formula_sum 'Hf18 Au3 N6'
_symmetry_space_group_name_H-M 'R 3'
_symmetry_Int_Tables_number 146
_symmetry_space_group_name_Hall 'R 3'
_cell_length_a 5.7484
_cell_length_b 5.7484
_cell_length_c 20.7378
_cell_angle_alpha 90.00
_cell_angle_beta 90.00
_cell_angle_gamma 120.00
loop_
_atom_site_label
_atom_site_type_symbol
_atom_site_fract_x
_atom_site_fract_y
_atom_site_fract_z
Hf1 Hf 0.0019 0.3297 0.0000
Hf2 Hf 0.0136 0.6770 0.4558
Au1 Au 0.0000 0.0000 0.5620
N1 N 0.0000 0.0000 0.8242
N2 N 0.0000 0.0000 0.9680

=====

No. 11
# Hf8AuN2 | Alexandria | PBE | relaxed
# **Volume**: 20.52 Å³ per atom
# **Size of the total moment**: 0.0 μB per cell
# **E_form (uncorrected)**: -0.382 eV per atom
# **DOS at the Fermi energy**: 10.95 states/eV/f.u.
data_Hf8AuN2
_chemical_formula_sum 'Hf16 Au2 N4'
_symmetry_space_group_name_H-M 'C 1 2/m 1'
_symmetry_Int_Tables_number 12
_cell_length_a 12.464
_cell_length_b 6.528
_cell_length_c 5.599
_cell_angle_alpha 90.00
_cell_angle_beta 97.66
_cell_angle_gamma 90.00
loop_
_symmetry_equiv_pos_as_xyz
'x,y,z'
'-x,-y,-z'
'-x,y,-z'
'x,-y,z'
'x+1/2,y+1/2,z'
'-x+1/2,-y+1/2,-z'
'-x+1/2,y+1/2,-z'
'x+1/2,-y+1/2,z'
loop_
_atom_site_label
_atom_site_type_symbol
_atom_site_fract_x
_atom_site_fract_y
_atom_site_fract_z
Hf1 Hf 0.096 0.234 0.207
Hf2 Hf 0.153 0.000 0.726
Hf3 Hf 0.191 0.500 0.784
Au1 Au 0.000 0.500 0.500
N1 N 0.181 0.500 0.151

=====

No. 12
# HfAu2N2 | Alexandria | PBE | relaxed
# **Volume**: 14.59 Å³ per atom
# **Polymorph energy (0 for the lowest one)**: 0.00 eV/f.u.
# **Size of the total moment**: 0.0 μB per cell
# **E_form (uncorrected)**: 1.096 eV per atom
# **DOS at the Fermi energy**: 2.56 states/eV/f.u.
data_HfAu2N2
_chemical_formula_sum 'Hf2 Au4 N4'
_symmetry_space_group_name_H-M 'I 4/m m m'
_symmetry_Int_Tables_number 139
_symmetry_space_group_name_Hall '-I 4 2'
_cell_length_a 3.776
_cell_length_b 3.776
_cell_length_c 10.231
_cell_angle_alpha 90.00
_cell_angle_beta 90.00
_cell_angle_gamma 90.00
loop_
_atom_site_label
_atom_site_type_symbol
_atom_site_fract_x
_atom_site_fract_y
_atom_site_fract_z
Hf1 Hf 0.000 0.000 0.000
Au1 Au 0.000 0.000 0.371
N1 N 0.000 0.500 0.250